Material: DyNbMoO6
Method: DFT, GGA+U
State: relaxed

Lattice parameters (Å, degrees): 5.437 5.437 8.994 90.00 90.00 120.00
Atoms (fractional coordinates):
Dy1 0.333 0.667 0.250
Dy2 0.667 0.333 0.750
Nb1 0.333 0.667 0.750
Nb2 0.667 0.333 0.250
Mo1 0.000 0.000 0.000
Mo2 0.000 0.000 0.500
O1 0.038 0.341 0.627
O2 0.038 0.696 0.873
O3 0.304 0.341 0.873
O4 0.304 0.962 0.627
O5 0.341 0.038 0.127
O6 0.341 0.304 0.373
O7 0.659 0.696 0.627
O8 0.659 0.962 0.873
O9 0.696 0.038 0.373
O10 0.696 0.659 0.127
O11 0.962 0.304 0.127
O12 0.962 0.659 0.373

Values from the calculation:
As for the uncorrected energy: -8.18 eV/atom.